VASP calculation (GGA-PBE) on a relaxed structure of Al3Mo.

```
4
Lattice="0.0000 3.1306 3.1306 3.1306 0.0000 3.1306 3.1306 3.1306 0.0000" Properties=species:S:1:pos:R:3 pbc="T T T"
Al 0.0000 0.0000 0.0000
Al 1.5653 1.5653 1.5653
Al 4.6960 4.6960 4.6960
Mo 3.1306 3.1306 3.1306
```

Properties
DOS(E_F), states/eV/atom: 1.23
SG: Fm-3m, No. 225
E_form, eV per atom: 0.141
Crystal system: cubic
E_tot, eV for the cell shown: -21.50

VASP calculation (GGA-PBE) on a relaxed structure of AlMo5.

```
6
Lattice="5.1227 0.0000 0.0000 -2.5614 4.4364 0.0000 0.0000 0.0000 4.6528" Properties=species:S:1:pos:R:3 pbc="T T T"
Al 0.0000 0.0000 0.0000
Mo -1.2807 2.2182 2.3264
Mo 0.0000 2.9576 0.0000
Mo 2.5614 0.0000 2.3264
Mo 1.2807 2.2182 2.3264
Mo 2.5614 1.4788 0.0000
```

Properties
DOS(E_F), states/eV/atom: 0.66
SG: P6/mmm, No. 191
E_form, eV per atom: 0.485
Crystal system: hexagonal
E_tot, eV for the cell shown: -54.99

VASP calculation (GGA-PBE) on a relaxed structure of AlMo.

```
8
Lattice="0.0000 3.8188 4.9991 3.4134 0.0000 4.9991 3.4134 3.8188 0.0000" Properties=species:S:1:pos:R:3 pbc="T T T"
Al 4.7081 2.8641 3.7493
Al 6.4148 4.7735 6.2488
Al 0.4120 2.8641 3.7493
Al 2.1188 4.7735 6.2488
Mo 2.5601 1.4086 3.7493
Mo 4.2668 3.3180 6.2488
Mo 2.5601 4.3195 3.7493
Mo 4.2668 6.2289 6.2488
```

Properties
DOS(E_F), states/eV/atom: 1.10
SG: Fddd, No. 70
E_form, eV per atom: 0.399
Crystal system: orthorhombic
E_tot, eV for the cell shown: -55.10

VASP calculation (GGA-PBE) on a relaxed structure of Al5Mo3.

```
8
Lattice="4.0732 -4.1731 0.0000 4.0732 4.1731 0.0000 0.0000 0.0000 3.5812" Properties=species:S:1:pos:R:3 pbc="T T T"
Al 0.0000 0.0000 0.0000
Al 2.0366 2.0865 0.0000
Al 4.0732 1.9985 1.7906
Al 2.0366 -2.0865 0.0000
Al 4.0732 -1.9985 1.7906
Mo 1.8536 0.0000 1.7906
Mo 4.0732 0.0000 0.0000
Mo 6.2927 0.0000 1.7906
```

Properties
DOS(E_F), states/eV/atom: 0.68
SG: Cmmm, No. 65
E_form, eV per atom: -0.170
Crystal system: orthorhombic
E_tot, eV for the cell shown: -52.57

VASP calculation (GGA-PBE) on a relaxed structure of Al3Mo.

```
4
Lattice="-1.8364 1.9791 4.1811 1.8364 -1.9791 4.1811 1.8364 1.9791 -4.1811" Properties=species:S:1:pos:R:3 pbc="T T T"
Al 0.0000 0.0000 0.0000
Al 1.8364 0.0000 2.0969
Al 0.0000 1.9791 2.0841
Mo 0.0000 0.0000 4.1811
```

Properties
DOS(E_F), states/eV/atom: 0.44
SG: Immm, No. 71
E_form, eV per atom: -0.275
Crystal system: orthorhombic
E_tot, eV for the cell shown: -23.16

VASP calculation (GGA-PBE) on a relaxed structure of Al5Mo3.

```
16
Lattice="7.7395 0.0000 0.0000 -3.8697 6.7026 0.0000 0.0000 0.0000 4.9388" Properties=species:S:1:pos:R:3 pbc="T T T"
Al -0.8826 1.5288 1.2347
Al -2.9871 5.1738 3.7041
Al 1.7653 0.0000 1.2347
Al 0.8826 1.5288 3.7041
Al 0.0000 4.4684 0.0000
Al 0.0000 4.4684 2.4694
Al 3.8697 2.2342 0.0000
Al 3.8697 2.2342 2.4694
Al 5.9742 0.0000 3.7041
Al 2.9871 5.1738 1.2347
Mo -1.5473 2.6801 3.7041
Mo -2.3224 4.0225 1.2347
Mo 3.0947 0.0000 3.7041
Mo 1.5473 2.6801 1.2347
Mo 4.6448 0.0000 1.2347
Mo 2.3224 4.0225 3.7041
```

Properties
DOS(E_F), states/eV/atom: 0.76
SG: P6_3/mcm, No. 193
E_form, eV per atom: 0.027
Crystal system: hexagonal
E_tot, eV for the cell shown: -101.98

VASP calculation (GGA-PBE) on a relaxed structure of Al3Mo.

```
4
Lattice="4.0257 0.0000 0.0000 0.0000 4.0257 0.0000 0.0000 0.0000 3.7574" Properties=species:S:1:pos:R:3 pbc="T T T"
Al 0.0000 0.0000 0.0000
Al 0.0000 2.0129 1.8787
Al 2.0129 0.0000 1.8787
Mo 2.0129 2.0129 0.0000
```

Properties
DOS(E_F), states/eV/atom: 0.53
SG: P4/mmm, No. 123
E_form, eV per atom: -0.120
Crystal system: tetragonal
E_tot, eV for the cell shown: -22.54

VASP calculation (GGA-PBE) on a relaxed structure of AlMo.

```
8
Lattice="4.3575 0.0000 0.0000 -2.1787 3.7737 0.0000 0.0000 0.0000 7.7932" Properties=species:S:1:pos:R:3 pbc="T T T"
Al 0.0000 0.0000 1.9483
Al 0.0000 0.0000 5.8449
Al 0.0000 2.5158 1.9483
Al 2.1787 1.2579 5.8449
Mo 0.0000 2.5158 4.5152
Mo 0.0000 2.5158 7.1746
Mo 2.1787 1.2579 0.6186
Mo 2.1787 1.2579 3.2780
```

Properties
DOS(E_F), states/eV/atom: 0.29
SG: P6_3/mmc, No. 194
E_form, eV per atom: 0.062
Crystal system: hexagonal
E_tot, eV for the cell shown: -57.80

VASP calculation (GGA-PBE) on a relaxed structure of AlMo.

```
2
Lattice="0.0000 2.5535 2.5535 2.5535 0.0000 2.5535 2.5535 2.5535 0.0000" Properties=species:S:1:pos:R:3 pbc="T T T"
Al 0.0000 0.0000 0.0000
Mo 2.5535 2.5535 2.5535
```

Properties
DOS(E_F), states/eV/atom: 0.51
SG: Fm-3m, No. 225
E_form, eV per atom: 0.497
Crystal system: cubic
E_tot, eV for the cell shown: -13.58

VASP calculation (GGA-PBE) on a relaxed structure of AlMo2.

```
6
Lattice="-3.0337 3.0337 2.5289 3.0337 -3.0337 2.5289 3.0337 3.0337 -2.5289" Properties=species:S:1:pos:R:3 pbc="T T T"
Al 0.0000 0.0000 1.2644
Al 0.0000 0.0000 3.7933
Mo 3.9494 0.9157 0.0000
Mo 0.9157 2.1181 0.0000
Mo 2.1181 0.9157 2.5289
Mo -0.9157 2.1181 2.5289
```

Properties
DOS(E_F), states/eV/atom: 0.82
SG: I4/mcm, No. 140
E_form, eV per atom: 0.019
Crystal system: tetragonal
E_tot, eV for the cell shown: -50.70

VASP calculation (GGA-PBE) on a relaxed structure of Al3MoN.

```
5
Lattice="4.9078 0.0000 0.0000 0.0000 4.9078 0.0000 0.0000 0.0000 4.9078" Properties=species:S:1:pos:R:3 pbc="T T T"
Al 0.0000 0.0000 2.4539
Al 0.0000 2.4539 0.0000
Al 2.4539 0.0000 0.0000
Mo 0.0000 0.0000 0.0000
N 2.4539 2.4539 2.4539
```

Properties
DOS(E_F), states/eV/atom: 0.52
SG: Pm-3m, No. 221
Crystal system: cubic
E_tot, eV for the cell shown: -22.46

VASP calculation (GGA-PBE) on a relaxed structure of AlMoN2.

```
4
Lattice="1.4806 0.8548 6.2453 -1.4806 0.8548 6.2453 0.0000 -1.7096 6.2453" Properties=species:S:1:pos:R:3 pbc="T T T"
Al 0.0000 0.0000 0.0000
Mo 0.0000 0.0000 9.3680
N 0.0000 0.0000 1.9010
N 0.0000 0.0000 16.8350
```

Properties
DOS(E_F), states/eV/atom: 0.65
SG: R-3m, No. 166
Crystal system: trigonal
E_tot, eV for the cell shown: -32.21